No. 1
Material: Mn2CoPd
Method: DFT, PBE
State: optimized geometry

Cell: 4.2335 4.2335 3.0356 Å, 90.00 90.00 90.00°
Atoms (fractional coordinates):
Mn  0.0000  0.5000  0.0000
Mn  0.5000  0.0000  0.0000
Co  0.0000  0.0000  0.5000
Pd  0.5000  0.5000  0.5000

Calculated values
For the formation energy, the calculation gives -0.01 eV/atom. As for the density of states at the Fermi level: 0.700 states/eV/atom. The spin magnetization is 8.9 μB/f.u.

No. 2
Material: Mg14ZrCo
Method: DFT, PBE
State: optimized geometry

Cell: 10.0916 6.3536 6.3536 Å, 57.57 90.00 90.00°
Atoms (fractional coordinates):
Mg  0.0000  0.0000  0.0000
Mg  0.0000  0.0027  0.4954
Mg  0.0000  0.4954  0.0027
Mg  0.0000  0.4966  0.4966
Mg  0.2460  0.6612  0.6612
Mg  0.2603  0.1620  0.6656
Mg  0.2603  0.6656  0.1620
Mg  0.2842  0.1465  0.1465
Mg  0.5000  0.0001  0.5270
Mg  0.5000  0.5270  0.0001
Mg  0.7158  0.1465  0.1465
Mg  0.7397  0.1620  0.6656
Mg  0.7397  0.6656  0.1620
Mg  0.7540  0.6612  0.6612
Zr  0.5000  0.5108  0.5108
Co  0.5000  0.9905  0.9905

Calculated values
For the formation energy, the calculation gives 0.06 eV/atom. As for the density of states at the Fermi level: 0.569 states/eV/atom. The spin magnetization is 0.5 μB/f.u.

No. 3
Material: SrCa2Ho
Method: DFT, PBE
State: optimized geometry

Cell: 12.9779 12.9779 12.9779 Å, 17.06 17.06 17.06°
Atoms (fractional coordinates):
Sr  0.0000  0.0000  0.0000
Ca  0.5779  0.5779  0.5779
Ca  0.7558  0.7558  0.7558
Ho  0.1671  0.1671  0.1671

Calculated values
For the formation energy, the calculation gives 0.13 eV/atom. As for the density of states at the Fermi level: 1.603 states/eV/atom. The spin magnetization is 1.0 μB/f.u.

No. 4
Material: CsAg2H2
Method: DFT, PBE
State: optimized geometry

Cell: 7.0846 7.0846 7.0846 Å, 146.86 146.86 47.57°
Atoms (fractional coordinates):
Cs  0.0000  0.0000  0.0000
Ag  0.2746  0.2746  0.0000
Ag  0.7254  0.7254  0.0000
H  0.2500  0.7500  0.5000
H  0.7500  0.2500  0.5000

Calculated values
As for the energy: -12.0 eV per cell. As for the density of states at the Fermi level: 0.400 states/eV/atom. The spin magnetization is 0.0 μB/f.u.

What is the spin magnetization in the fourth record?
0.0 μB/f.u.

spin magnetization of number 3 (SrCa2Ho)?
1.0 μB/f.u.

Look up the spin magnetization of the fourth one.
0.0 μB/f.u.

spin magnetization of number 4 (CsAg2H2)?
0.0 μB/f.u.